! LiPmAg2I6, relaxed, DFT PBE; values from VASP
! - formation energy from raw total energies (meV/atom) = -855
&SYSTEM
  ibrav = 0, nat = 10, ntyp = 4
/
ATOMIC_SPECIES
Li 6.94 Li.upf
Pm 145.00 Pm.upf
Ag 107.87 Ag.upf
I 126.90 I.upf
ATOMIC_POSITIONS crystal
Li 0.0000 0.0000 0.0000
Pm 0.5005 0.5005 0.5005
Ag 0.2475 0.2475 0.2475
Ag 0.7537 0.7537 0.7537
I 0.1050 0.3886 0.7545
I 0.2464 0.8964 0.6131
I 0.3886 0.7545 0.1050
I 0.6131 0.2464 0.8964
I 0.7545 0.1050 0.3886
I 0.8964 0.6131 0.2464
CELL_PARAMETERS angstrom
3.8828 2.2417 7.1945
-3.8828 2.2417 7.1945
0.0000 -4.4834 7.1945


! Tc5Os, relaxed, DFT PBE; values from VASP
! - energy above the most stable polymorph in this dataset (meV per atom) = 362
&SYSTEM
  ibrav = 0, nat = 6, ntyp = 2
/
ATOMIC_SPECIES
Tc 98.00 Tc.upf
Os 190.23 Os.upf
ATOMIC_POSITIONS crystal
Tc 0.0000 0.0000 0.0000
Tc 0.1253 0.6249 0.6249
Tc 0.6249 0.1253 0.6249
Tc 0.6249 0.6249 0.1253
Tc 0.6249 0.6249 0.6249
Os 0.2500 0.2500 0.2500
CELL_PARAMETERS angstrom
0.0000 3.5612 3.5612
3.5612 0.0000 3.5612
3.5612 3.5612 0.0000


! Tl4Ga2Hg, relaxed, DFT PBE; values from VASP
! - total DFT energy (no corrections) (eV per atom) = -1.986
&SYSTEM
  ibrav = 0, nat = 14, ntyp = 3
/
ATOMIC_SPECIES
Tl 204.38 Tl.upf
Ga 69.72 Ga.upf
Hg 200.59 Hg.upf
ATOMIC_POSITIONS crystal
Tl 0.0000 0.0000 0.2104
Tl 0.0000 0.0000 0.7896
Tl 0.0000 0.5000 0.0000
Tl 0.0000 0.5000 0.5000
Tl 0.5000 0.0000 0.0000
Tl 0.5000 0.0000 0.5000
Tl 0.5000 0.5000 0.2896
Tl 0.5000 0.5000 0.7104
Ga 0.0000 0.0000 0.4079
Ga 0.0000 0.0000 0.5921
Ga 0.5000 0.5000 0.0921
Ga 0.5000 0.5000 0.9079
Hg 0.0000 0.0000 0.0000
Hg 0.5000 0.5000 0.5000
CELL_PARAMETERS angstrom
5.8108 0.0000 0.0000
0.0000 5.8108 0.0000
0.0000 0.0000 14.4773


! MnNb4N, relaxed, DFT PBE; values from VASP
! - formation energy from raw total energies (meV/atom) = 152
&SYSTEM
  ibrav = 0, nat = 12, ntyp = 3
/
ATOMIC_SPECIES
Mn 54.94 Mn.upf
Nb 92.91 Nb.upf
N 14.01 N.upf
ATOMIC_POSITIONS crystal
Mn 0.3750 0.6250 0.7500
Mn 0.6250 0.3750 0.2500
Nb 0.1417 0.6932 0.4486
Nb 0.2554 0.3068 0.9486
Nb 0.3068 0.2554 0.4486
Nb 0.3068 0.8583 0.0514
Nb 0.6932 0.1417 0.9486
Nb 0.6932 0.7446 0.5514
Nb 0.7446 0.6932 0.0514
Nb 0.8583 0.3068 0.5514
N 0.1250 0.8750 0.2500
N 0.8750 0.1250 0.7500
CELL_PARAMETERS angstrom
-3.8914 3.8914 3.5230
3.8914 -3.8914 3.5230
3.8914 3.8914 -3.5230


! PtPb2CO, relaxed, DFT PBE; values from VASP
! - formation energy from raw total energies (meV/atom) = 618
&SYSTEM
  ibrav = 0, nat = 5, ntyp = 4
/
ATOMIC_SPECIES
Pt 195.08 Pt.upf
Pb 207.20 Pb.upf
C 12.01 C.upf
O 16.00 O.upf
ATOMIC_POSITIONS crystal
Pt 0.0000 0.0000 0.0000
Pb 0.0000 0.5000 0.0000
Pb 0.5000 0.0000 0.0000
C 0.0000 0.0000 0.5000
O 0.5000 0.5000 0.5000
CELL_PARAMETERS angstrom
5.5095 0.0000 0.0000
0.0000 5.5095 0.0000
0.0000 0.0000 3.7812


! La3Sm5Tm4, relaxed, DFT PBE; values from VASP
! - total DFT energy (no corrections) (eV per atom) = -4.451
&SYSTEM
  ibrav = 0, nat = 12, ntyp = 3
/
ATOMIC_SPECIES
La 138.91 La.upf
Sm 150.36 Sm.upf
Tm 168.93 Tm.upf
ATOMIC_POSITIONS crystal
La 0.0000 0.0000 0.0000
La 0.2945 0.2945 0.7810
La 0.7055 0.7055 0.2190
Sm 0.0760 0.0760 0.6999
Sm 0.1729 0.1729 0.3945
Sm 0.5000 0.5000 0.0000
Sm 0.8271 0.8271 0.6055
Sm 0.9240 0.9240 0.3001
Tm 0.2919 0.2919 0.1326
Tm 0.4208 0.4208 0.5630
Tm 0.5792 0.5792 0.4370
Tm 0.7081 0.7081 0.8674
CELL_PARAMETERS angstrom
8.1516 -2.9928 0.0000
8.1516 2.9928 0.0000
-4.1892 0.0000 8.3241


Calculated magnetic moment, 0.00; 0.00; 0.00; 0.00; 0.00; 0.24 Bohr magnetons per cell (same order as the records).
Calculated calculated volume, 37.6; 15.1; 34.9; 17.8; 23.0; 33.8 A^3/atom (same order as the records).